No. 1
Here is a relaxed structure of Li32Mn3Cr13O48 from Alexandria via LeMat-Bulk. Energies are from PBE with a Hubbard U.

Properties
- ΔE to the lowest computed polymorph (meV/atom) = 0
- final energy (eV/atom) = -6.248
- size of the total moment (Bohr magnetons per cell) = 35.00
- space group = No. 1

Cell: 5.032 8.728 19.480 Å, 82.27 85.19 89.22°
Atoms (fractional coordinates):
Li 0.000 0.000 0.000
Li 0.000 0.325 0.501
Li 0.007 0.646 0.502
Li 0.010 0.650 0.001
Li 0.121 0.450 0.626
Li 0.126 0.453 0.126
Li 0.232 0.243 0.752
Li 0.238 0.242 0.252
Li 0.251 0.573 0.249
Li 0.252 0.575 0.752
Li 0.257 0.900 0.751
Li 0.261 0.904 0.251
Li 0.372 0.697 0.876
Li 0.378 0.699 0.376
Li 0.489 0.493 0.002
Li 0.492 0.495 0.501
Li 0.501 0.823 0.002
Li 0.501 0.824 0.501
Li 0.504 0.152 0.000
Li 0.509 0.154 0.500
Li 0.622 0.948 0.125
Li 0.623 0.950 0.626
Li 0.739 0.742 0.250
Li 0.744 0.078 0.750
Li 0.745 0.743 0.750
Li 0.754 0.073 0.251
Li 0.767 0.411 0.248
Li 0.769 0.410 0.749
Li 0.877 0.202 0.876
Li 0.881 0.199 0.376
Li 0.994 0.003 0.499
Li 0.999 0.327 0.999
Mn 0.376 0.034 0.376
Mn 0.625 0.614 0.126
Mn 0.626 0.616 0.626
Cr 0.115 0.783 0.626
Cr 0.118 0.785 0.126
Cr 0.131 0.123 0.124
Cr 0.132 0.114 0.626
Cr 0.372 0.026 0.877
Cr 0.381 0.362 0.876
Cr 0.381 0.363 0.377
Cr 0.620 0.287 0.625
Cr 0.627 0.278 0.126
Cr 0.870 0.535 0.375
Cr 0.870 0.537 0.875
Cr 0.878 0.872 0.875
Cr 0.887 0.866 0.375
O 0.035 0.723 0.319
O 0.039 0.721 0.819
O 0.061 0.037 0.819
O 0.074 0.397 0.819
O 0.077 0.398 0.319
O 0.079 0.042 0.319
O 0.176 0.502 0.932
O 0.178 0.862 0.431
O 0.179 0.503 0.432
O 0.188 0.862 0.932
O 0.212 0.178 0.433
O 0.212 0.178 0.932
O 0.282 0.972 0.569
O 0.287 0.971 0.069
O 0.314 0.287 0.069
O 0.324 0.648 0.569
O 0.325 0.647 0.069
O 0.331 0.291 0.569
O 0.419 0.110 0.682
O 0.427 0.752 0.682
O 0.428 0.753 0.183
O 0.440 0.115 0.182
O 0.466 0.433 0.181
O 0.468 0.432 0.681
O 0.530 0.217 0.821
O 0.534 0.217 0.321
O 0.566 0.902 0.817
O 0.575 0.897 0.319
O 0.581 0.539 0.819
O 0.582 0.540 0.320
O 0.669 0.360 0.932
O 0.671 0.359 0.432
O 0.678 0.002 0.433
O 0.684 0.997 0.934
O 0.720 0.678 0.432
O 0.720 0.682 0.931
O 0.786 0.466 0.070
O 0.790 0.471 0.569
O 0.818 0.152 0.067
O 0.823 0.147 0.569
O 0.823 0.787 0.570
O 0.826 0.785 0.070
O 0.924 0.607 0.682
O 0.924 0.608 0.182
O 0.926 0.252 0.683
O 0.936 0.247 0.184
O 0.966 0.926 0.682
O 0.971 0.932 0.181

---

No. 2
Here is a relaxed structure of Li4Mn3Cr2O10 from Alexandria via LeMat-Bulk. Energies are from PBE with a Hubbard U.

Properties
- ΔE to the lowest computed polymorph (meV/atom) = 108
- final energy (eV/atom) = -6.673
- size of the total moment (Bohr magnetons per cell) = 19.00
- space group = No. 1

Cell: 5.265 5.423 6.932 Å, 87.09 75.88 80.58°
Atoms (fractional coordinates):
Li 0.000 0.000 0.000
Li 0.175 0.387 0.124
Li 0.487 0.853 0.194
Li 0.743 0.494 0.938
Mn 0.542 0.062 0.832
Mn 0.635 0.322 0.336
Mn 0.937 0.761 0.423
Cr 0.065 0.209 0.582
Cr 0.314 0.616 0.718
O 0.145 0.319 0.835
O 0.262 0.503 0.447
O 0.379 0.765 0.959
O 0.425 0.033 0.447
O 0.540 0.875 0.589
O 0.584 0.186 0.070
O 0.674 0.360 0.670
O 0.797 0.599 0.213
O 0.984 0.121 0.317
O 0.985 0.878 0.719

---

No. 3
Here is a relaxed structure of Li3Mn5Cr3O16 from Alexandria via LeMat-Bulk. Energies are from PBE with a Hubbard U.

Properties
- ΔE to the lowest computed polymorph (meV/atom) = 6
- final energy (eV/atom) = -7.077
- size of the total moment (Bohr magnetons per cell) = 24.00
- space group = No. 8

Cell: 5.918 5.918 10.194 Å, 106.48 106.48 59.31°
Atoms (fractional coordinates):
Li 0.000 0.000 0.000
Li 0.314 0.314 0.431
Li 0.630 0.630 0.862
Mn 0.061 0.564 0.180
Mn 0.066 0.568 0.681
Mn 0.564 0.061 0.180
Mn 0.568 0.066 0.681
Mn 0.815 0.815 0.431
Cr 0.066 0.066 0.674
Cr 0.315 0.315 0.931
Cr 0.563 0.563 0.187
O 0.152 0.699 0.557
O 0.202 0.658 0.068
O 0.208 0.208 0.066
O 0.209 0.209 0.576
O 0.420 0.420 0.286
O 0.422 0.422 0.795
O 0.427 0.971 0.794
O 0.478 0.930 0.305
O 0.658 0.202 0.068
O 0.697 0.697 0.077
O 0.699 0.152 0.557
O 0.716 0.716 0.566
O 0.914 0.914 0.296
O 0.930 0.478 0.305
O 0.933 0.933 0.785
O 0.971 0.427 0.794

---

No. 4
Here is a relaxed structure of Li5MnCr3O8 from Alexandria via LeMat-Bulk. Energies are from PBE with a Hubbard U.

Properties
- ΔE to the lowest computed polymorph (meV/atom) = 0
- final energy (eV/atom) = -6.579
- size of the total moment (Bohr magnetons per cell) = 56.00
- space group = No. 96

Cell: 8.827 8.827 8.140 Å, 90.00 90.00 90.00°
Atoms (fractional coordinates):
Li 0.043 0.201 0.469
Li 0.104 0.356 0.242
Li 0.144 0.604 0.992
Li 0.152 0.848 0.750
Li 0.201 0.043 0.531
Li 0.299 0.543 0.219
Li 0.348 0.348 0.000
Li 0.356 0.104 0.758
Li 0.396 0.856 0.508
Li 0.457 0.701 0.281
Li 0.543 0.299 0.781
Li 0.604 0.144 0.008
Li 0.644 0.896 0.258
Li 0.652 0.652 0.500
Li 0.701 0.457 0.719
Li 0.799 0.957 0.031
Li 0.848 0.152 0.250
Li 0.856 0.396 0.492
Li 0.896 0.644 0.742
Li 0.957 0.799 0.969
Mn 0.119 0.119 0.000
Mn 0.381 0.619 0.750
Mn 0.619 0.381 0.250
Mn 0.881 0.881 0.500
Cr 0.120 0.374 0.745
Cr 0.126 0.620 0.495
Cr 0.129 0.871 0.250
Cr 0.371 0.371 0.500
Cr 0.374 0.120 0.255
Cr 0.380 0.874 0.005
Cr 0.620 0.126 0.505
Cr 0.626 0.880 0.755
Cr 0.629 0.629 0.000
Cr 0.871 0.129 0.750
Cr 0.874 0.380 0.995
Cr 0.880 0.626 0.245
O 0.104 0.140 0.724
O 0.110 0.372 0.994
O 0.110 0.636 0.246
O 0.128 0.610 0.744
O 0.128 0.848 0.498
O 0.136 0.390 0.496
O 0.140 0.104 0.276
O 0.152 0.872 0.002
O 0.348 0.372 0.748
O 0.360 0.604 0.474
O 0.364 0.890 0.254
O 0.372 0.110 0.006
O 0.372 0.348 0.252
O 0.390 0.136 0.504
O 0.390 0.872 0.756
O 0.396 0.640 0.026
O 0.604 0.360 0.526
O 0.610 0.128 0.256
O 0.610 0.864 0.004
O 0.628 0.652 0.752
O 0.628 0.890 0.506
O 0.636 0.110 0.754
O 0.640 0.396 0.974
O 0.652 0.628 0.248
O 0.848 0.128 0.502
O 0.860 0.896 0.776
O 0.864 0.610 0.996
O 0.872 0.152 0.998
O 0.872 0.390 0.244
O 0.890 0.364 0.746
O 0.890 0.628 0.494
O 0.896 0.860 0.224

---

No. 5
Here is a relaxed structure of Li3MnCr4O8 from Alexandria via LeMat-Bulk. Energies are from PBE with a Hubbard U.

Properties
- final energy (eV/atom) = -6.980
- size of the total moment (Bohr magnetons per cell) = 16.03
- space group = No. 12

Cell: 6.091 6.091 5.853 Å, 118.01 118.01 57.68°
Atoms (fractional coordinates):
Li 0.000 0.000 0.000
Li 0.000 0.500 0.000
Li 0.500 0.000 0.000
Mn 0.500 0.500 0.500
Cr 0.000 0.000 0.500
Cr 0.000 0.500 0.500
Cr 0.500 0.000 0.500
Cr 0.500 0.500 0.000
O 0.229 0.229 0.720
O 0.229 0.729 0.725
O 0.248 0.248 0.261
O 0.271 0.771 0.275
O 0.729 0.229 0.725
O 0.752 0.752 0.739
O 0.771 0.271 0.275
O 0.771 0.771 0.280

---

No. 6
Here is a relaxed structure of Li2Mn3CrO8 from Alexandria via LeMat-Bulk. Energies are from PBE with a Hubbard U.

Properties
- ΔE to the lowest computed polymorph (meV/atom) = 0
- final energy (eV/atom) = -6.987
- size of the total moment (Bohr magnetons per cell) = 52.00
- space group = No. 96

Cell: 8.315 8.315 8.525 Å, 90.00 90.00 90.00°
Atoms (fractional coordinates):
Li 0.001 0.246 0.372
Li 0.246 0.001 0.628
Li 0.254 0.501 0.122
Li 0.499 0.746 0.378
Li 0.501 0.254 0.878
Li 0.746 0.499 0.622
Li 0.754 0.999 0.128
Li 0.999 0.754 0.872
Mn 0.122 0.623 0.504
Mn 0.123 0.378 0.754
Mn 0.129 0.871 0.250
Mn 0.371 0.371 0.500
Mn 0.377 0.878 0.996
Mn 0.378 0.123 0.246
Mn 0.622 0.877 0.746
Mn 0.623 0.122 0.496
Mn 0.629 0.629 0.000
Mn 0.871 0.129 0.750
Mn 0.877 0.622 0.254
Mn 0.878 0.377 0.004
Cr 0.126 0.126 0.000
Cr 0.374 0.626 0.750
Cr 0.626 0.374 0.250
Cr 0.874 0.874 0.500
O 0.108 0.145 0.764
O 0.110 0.371 0.983
O 0.112 0.851 0.505
O 0.115 0.632 0.273
O 0.129 0.610 0.733
O 0.132 0.385 0.523
O 0.145 0.108 0.236
O 0.149 0.888 0.995
O 0.351 0.388 0.755
O 0.355 0.608 0.514
O 0.368 0.885 0.227
O 0.371 0.110 0.017
O 0.385 0.132 0.477
O 0.388 0.351 0.245
O 0.390 0.871 0.767
O 0.392 0.645 0.986
O 0.608 0.355 0.486
O 0.610 0.129 0.267
O 0.612 0.649 0.745
O 0.615 0.868 0.977
O 0.629 0.890 0.517
O 0.632 0.115 0.727
O 0.645 0.392 0.014
O 0.649 0.612 0.255
O 0.851 0.112 0.495
O 0.855 0.892 0.736
O 0.868 0.615 0.023
O 0.871 0.390 0.233
O 0.885 0.368 0.773
O 0.888 0.149 0.005
O 0.890 0.629 0.483
O 0.892 0.855 0.264